Record 1
Density functional theory data (PBE) for a relaxed GaCuC crystal.

a b c (Å): 3.264 7.898 3.434
angles (deg): 89.34 110.81 85.95
Positions (direct):
Cu 0.346 0.043 0.778
Ga 0.748 0.856 0.415
Cu 0.683 0.236 0.395
C 0.370 0.446 0.914
C 0.305 0.293 0.763
Ga 0.858 0.602 0.969

SG: P1, No. 1
Total moment, μB per formula unit: 0.0
E, eV/atom: -4.9318
ΔE_f, eV per atom: 0.52



Record 2
Density functional theory data (PBE) for a relaxed GaCuC crystal.

a b c (Å): 3.423 8.308 3.782
angles (deg): 99.21 53.60 106.81
Positions (direct):
C 0.539 0.292 0.545
C 0.725 0.445 0.623
Ga 0.002 0.856 0.172
Ga 0.370 0.601 0.134
Cu 0.381 0.044 0.541
Cu 0.769 0.238 0.910

SG: P1, No. 1
Total moment, μB per formula unit: 0.0
E, eV/atom: -4.9200
ΔE_f, eV per atom: 0.53



Record 3
Density functional theory data (PBE) for a relaxed GaCuC crystal.

a b c (Å): 3.349 5.462 4.673
angles (deg): 81.92 111.08 90.37
Positions (direct):
Ga 0.403 0.541 0.392
Cu 0.639 0.173 0.861
Cu 0.341 0.020 0.265
Ga 0.050 0.881 0.686
C 0.064 0.494 0.712
C 0.214 0.368 0.009

SG: P1, No. 1
Total moment, μB per formula unit: 0.0
E, eV/atom: -4.9072
ΔE_f, eV per atom: 0.54



Record 4
Density functional theory data (PBE) for a relaxed GaCuC crystal.

a b c (Å): 4.377 6.538 3.068
angles (deg): 90.02 90.00 90.05
Positions (direct):
Cu 0.766 0.931 0.986
Ga 0.266 0.129 0.985
Cu 0.766 0.235 0.486
C 0.413 0.436 0.485
C 0.120 0.436 0.485
Ga 0.767 0.641 0.485

SG: Pmm2, No. 25
Total moment, μB per formula unit: 0.0
E, eV/atom: -4.9337
ΔE_f, eV per atom: 0.52



Record 5
Density functional theory data (PBE) for a relaxed GaCuC3 crystal.

a b c (Å): 3.886 3.886 3.886
angles (deg): 90.00 90.00 90.00
Positions (direct):
C 0.000 0.000 0.500
C 0.000 0.500 0.000
C 0.500 0.000 0.000
Ga 0.500 0.500 0.500
Cu 0.000 0.000 0.000

SG: Pm-3m, No. 221
Total moment, μB per formula unit: 0.0
Distance to the lowest polymorph of the same formula, eV per atom: 0.000
E, eV/atom: -4.3346
ΔE_f, eV per atom: 2.62



Record 6
Density functional theory data (PBE) for a relaxed GaCuC3 crystal.

a b c (Å): 3.976 3.976 3.976
angles (deg): 90.00 90.00 90.00
Positions (direct):
C 0.000 0.500 0.000
Ga 0.000 0.000 0.000
C 0.500 0.000 0.000
C 0.000 0.000 0.500
Cu 0.500 0.500 0.500

SG: Pm-3m, No. 221
Total moment, μB per formula unit: 0.0
Distance to the lowest polymorph of the same formula, eV per atom: 0.207
E, eV/atom: -4.1277
ΔE_f, eV per atom: 2.83



Record 7
Density functional theory data (PBE) for a relaxed GaCuC crystal.

a b c (Å): 4.254 4.254 7.189
angles (deg): 90.00 90.00 120.00
Positions (direct):
Ga 0.000 0.000 0.750
Ga 0.000 0.000 0.250
C 0.000 0.000 0.000
Cu 0.667 0.333 0.750
Cu 0.333 0.667 0.250
C 0.000 0.000 0.500

SG: P6_3/mmc, No. 194
Total moment, μB per formula unit: 0.0
E, eV/atom: -3.7822
ΔE_f, eV per atom: 1.67



Record 8
Density functional theory data (PBE) for a relaxed GaCuC crystal.

a b c (Å): 4.543 4.264 4.621
angles (deg): 89.66 76.43 92.03
Positions (direct):
C 0.067 0.472 0.596
Cu 0.661 0.994 0.047
Ga 0.781 0.818 0.503
Ga 0.402 0.471 0.188
C 0.969 0.209 0.742
Cu 0.218 0.845 0.837

SG: P1, No. 1
Total moment, μB per formula unit: 0.0
E, eV/atom: -4.8890
ΔE_f, eV per atom: 0.56



Record 9
Density functional theory data (PBE) for a relaxed GaCuC crystal.

a b c (Å): 7.593 2.799 7.027
angles (deg): 90.00 90.00 90.00
Positions (direct):
Ga 0.536 0.250 0.682
Ga 0.964 0.750 0.182
Cu 0.359 0.250 0.017
Cu 0.141 0.750 0.517
C 0.826 0.250 0.003
C 0.174 0.750 0.997
Ga 0.036 0.250 0.818
C 0.326 0.250 0.497
Cu 0.859 0.250 0.483
Ga 0.464 0.750 0.318
Cu 0.641 0.750 0.983
C 0.674 0.750 0.503

SG: Pnma, No. 62
Total moment, μB per formula unit: 0.0
E, eV/atom: -4.6372
ΔE_f, eV per atom: 0.81



Record 10
Density functional theory data (PBE) for a relaxed GaCuC crystal.

a b c (Å): 5.011 5.236 3.254
angles (deg): 89.96 109.15 107.25
Positions (direct):
Cu 0.706 0.101 0.682
Ga 0.793 0.713 0.221
Ga 0.240 0.223 0.448
C 0.907 0.533 0.778
C 0.126 0.403 0.891
Cu 0.326 0.836 0.990

SG: P1, No. 1
Total moment, μB per formula unit: 0.0
E, eV/atom: -4.9470
ΔE_f, eV per atom: 0.50



Record 11
Density functional theory data (PBE) for a relaxed GaCu3C crystal.

a b c (Å): 3.956 3.956 3.956
angles (deg): 90.00 90.00 90.00
Positions (direct):
Cu 0.000 0.500 0.000
Ga 0.500 0.500 0.500
Cu 0.000 0.000 0.500
Cu 0.500 0.000 0.000
C 0.000 0.000 0.000

SG: Pm-3m, No. 221
Total moment, μB per formula unit: 0.0
Distance to the lowest polymorph of the same formula, eV per atom: 0.000
E, eV/atom: -4.5154
ΔE_f, eV per atom: 0.39



Record 12
Density functional theory data (PBE) for a relaxed GaCuC crystal.

a b c (Å): 3.726 3.726 5.907
angles (deg): 90.00 90.00 90.00
Positions (direct):
C 0.000 0.500 0.336
Cu 0.000 0.500 0.016
Ga 0.000 0.000 0.500
Ga 0.500 0.500 0.500
Cu 0.500 0.000 0.984
C 0.500 0.000 0.664

SG: P4/nmm, No. 129
Total moment, μB per formula unit: 0.0
E, eV/atom: -4.5360
ΔE_f, eV per atom: 0.91



Record 13
Density functional theory data (PBE) for a relaxed GaCuC crystal.

a b c (Å): 3.409 3.409 7.426
angles (deg): 90.00 90.00 120.00
Positions (direct):
Cu 0.000 0.000 0.500
Ga 0.667 0.333 0.750
C 0.667 0.333 0.250
C 0.333 0.667 0.750
Ga 0.333 0.667 0.250
Cu 0.000 0.000 0.000

SG: P6_3/mmc, No. 194
Total moment, μB per formula unit: 0.0
E, eV/atom: -4.4986
ΔE_f, eV per atom: 0.95



Record 14
Density functional theory data (PBE) for a relaxed GaCuC crystal.

a b c (Å): 3.117 6.625 4.355
angles (deg): 84.98 69.13 90.10
Positions (direct):
C 0.484 0.405 0.449
Cu 0.683 0.215 0.050
Ga 0.229 0.906 0.959
Cu 0.952 0.040 0.511
C 0.320 0.369 0.773
Ga 0.117 0.542 0.183

SG: P1, No. 1
Total moment, μB per formula unit: 0.0
E, eV/atom: -4.8946
ΔE_f, eV per atom: 0.55



Record 15
Density functional theory data (PBE) for a relaxed GaCuC crystal.

a b c (Å): 4.028 7.348 2.581
angles (deg): 79.90 89.95 87.60
Positions (direct):
C 0.245 0.390 0.191
C 0.353 0.459 0.656
Cu 0.775 0.280 0.247
Ga 0.268 0.061 0.355
Ga 0.678 0.667 0.552
Cu 0.777 0.951 0.911

SG: Cm, No. 8
Total moment, μB per formula unit: 0.0
E, eV/atom: -5.0844
ΔE_f, eV per atom: 0.36



Record 16
Density functional theory data (PBE) for a relaxed GaCuC2 crystal.

a b c (Å): 4.476 4.476 5.760
angles (deg): 67.14 67.14 90.00
Positions (direct):
C 0.375 0.396 0.750
C 0.875 0.854 0.750
Cu 0.500 0.500 0.000
C 0.146 0.625 0.250
C 0.604 0.125 0.250
Ga 0.000 0.000 0.000
Cu 0.250 0.750 0.500
Ga 0.750 0.250 0.500

SG: I-42d, No. 122
Total moment, μB per formula unit: 0.0
E, eV/atom: -5.0231
ΔE_f, eV per atom: 1.37



Record 17
Density functional theory data (PBE) for a relaxed GaCuC crystal.

a b c (Å): 4.348 6.669 2.929
angles (deg): 89.99 90.02 90.01
Positions (direct):
Ga 0.766 0.646 0.402
C 0.412 0.448 0.402
Ga 0.266 0.062 0.401
C 0.121 0.448 0.402
Cu 0.766 0.946 0.902
Cu 0.766 0.257 0.402

SG: Pmm2, No. 25
Total moment, μB per formula unit: 0.0
E, eV/atom: -4.9262
ΔE_f, eV per atom: 0.52



Record 18
Density functional theory data (PBE) for a relaxed GaCu3C crystal.

a b c (Å): 4.415 4.415 4.415
angles (deg): 90.00 90.00 90.00
Positions (direct):
C 0.500 0.500 0.500
Cu 0.500 0.000 0.000
Ga 0.000 0.000 0.000
Cu 0.000 0.500 0.000
Cu 0.000 0.000 0.500

SG: Pm-3m, No. 221
Total moment, μB per formula unit: 0.0
Distance to the lowest polymorph of the same formula, eV per atom: 1.473
E, eV/atom: -3.0420
ΔE_f, eV per atom: 1.87



Record 19
Density functional theory data (PBE) for a relaxed GaCuC crystal.

a b c (Å): 7.650 6.370 3.392
angles (deg): 90.00 90.00 90.00
Positions (direct):
C 0.000 0.250 0.344
C 0.500 0.250 0.156
Ga 0.500 0.000 0.500
Cu 0.750 0.750 0.750
Cu 0.750 0.250 0.250
Cu 0.250 0.750 0.750
Cu 0.250 0.250 0.250
Ga 0.500 0.500 0.500
Ga 0.000 0.000 0.000
C 0.000 0.750 0.656
C 0.500 0.750 0.844
Ga 0.000 0.500 0.000

SG: Imma, No. 74
Total moment, μB per formula unit: 0.0
E, eV/atom: -4.6692
ΔE_f, eV per atom: 0.78



Record 20
Density functional theory data (PBE) for a relaxed Ga2CuC crystal.

a b c (Å): 5.527 5.527 5.715
angles (deg): 61.09 61.09 90.00
Positions (direct):
C 0.250 0.750 0.500
Ga 0.375 0.452 0.750
C 0.500 0.500 0.000
Cu 0.750 0.250 0.500
Ga 0.202 0.625 0.250
Ga 0.875 0.798 0.750
Ga 0.548 0.125 0.250
Cu 0.000 0.000 0.000

SG: I-42d, No. 122
Total moment, μB per formula unit: 0.0
E, eV/atom: -4.2573
ΔE_f, eV per atom: 0.59